# 1
Entry from Alexandria via LeMat-Bulk: an optimized crystal structure of Pr2ScBi3 (PBE).

```
Pr2ScBi3
1.0
7.7377 -0.0313 -1.2982
-4.1753 6.5146 -1.2982
-0.0213 -0.0387 7.8309
Pr Sc Bi
4 2 6
Direct
0.8333 0.1666 0.5000
0.3333 0.6667 0.0000
0.1722 0.8278 0.5000
0.4945 0.5055 0.5000
0.0020 0.9980 0.0000
0.6646 0.3354 0.0000
0.6048 0.9382 0.7711
0.0618 0.3952 0.2289
0.9079 0.5880 0.7645
0.2547 0.2412 0.7645
0.4120 0.0921 0.2355
0.7588 0.7453 0.2355
```

Summary:
The value obtained for the total energy is -5.4224 eV/atom.

---

# 2
Entry from Alexandria via LeMat-Bulk: an optimized crystal structure of PrScBi2 (PBE).

```
PrScBi2
1.0
3.7314 0.0000 0.0000
0.0000 3.7314 0.0000
0.0000 0.0000 8.2593
Pr Sc Bi
1 1 2
Direct
0.5000 0.5000 0.5000
0.5000 0.5000 0.0000
0.0000 0.0000 0.7740
0.0000 0.0000 0.2260
```

Summary:
The value obtained for the total energy is -5.2705 eV/atom.

---

# 3
Entry from Alexandria via LeMat-Bulk: an optimized crystal structure of Pr2ScBi (PBE).

```
Pr2ScBi
1.0
3.5437 0.0000 0.0000
1.7719 3.0689 0.0000
1.7719 1.0230 12.1264
Pr Sc Bi
2 1 1
Direct
0.0903 0.0903 0.7290
0.9097 0.9097 0.2710
0.5000 0.5000 0.5000
0.0000 0.0000 0.0000
```

Summary:
The value obtained for the total energy is -4.9139 eV/atom.

---

# 4
Entry from Alexandria via LeMat-Bulk: an optimized crystal structure of PrScBi (PBE).

```
PrScBi
1.0
-0.2186 -4.0333 0.3878
2.8322 0.2504 4.2006
-5.0527 0.3052 0.3259
Pr Sc Bi
1 1 1
Direct
0.6676 0.3333 0.6667
0.1687 0.6667 0.3333
0.1638 0.0000 0.0000
```

Summary:
The value obtained for the total energy is -5.3532 eV/atom.